<one>
The following is a PBE-GGA calculation of Tl2CdOs after structural relaxation, from the Alexandria database.

Cell lengths 3.0168, 3.0168, 11.1772 Å; angles 90.00, 90.00, 114.64 degrees
With the nearest neighbours (Å) after each atom.
Sites, in units of the cell vectors:
Cd  0.0000  0.0000  0.5344  2 Os 2.81, 4 Cd 3.02
Tl  0.0000  0.0000  0.9576  2 Os 2.94, 6 Tl 3.02-3.26
Tl  0.5000  0.5000  0.2692  6 Tl 3.02-3.26
Os  0.5000  0.5000  0.7388  2 Cd 2.81, 2 Tl 2.94, 4 Os 3.02

symmetry	No. 35
M_tot	0.78	μB/f.u.



<two>
The following is a PBE-GGA calculation of Tl2CdOs after structural relaxation, from the Alexandria database.

Cell lengths 10.6962, 10.6962, 10.6962 Å; angles 16.78, 16.78, 16.78 degrees
With the nearest neighbours (Å) after each atom.
Sites, in units of the cell vectors:
Cd  0.4885  0.4885  0.4885  3 Os 2.86, 6 Cd 3.12
Os  0.7517  0.7517  0.7517  3 Cd 2.86, 3 Tl 2.94, 6 Os 3.12
Tl  0.2483  0.2483  0.2483  6 Tl 3.12, 3 Cd 3.45
Tl  0.0115  0.0115  0.0115  3 Os 2.94, 6 Tl 3.12

symmetry	No. 160
M_tot	0.00	μB/f.u.



Taking the most stable structure as the zero point, the relative energies in kJ/mol of atoms are <one> 2.0; <two> 0.0.



<one>
The following is a PBE-GGA calculation of TlCdOs after structural relaxation, from the Alexandria database.

Cell lengths 4.5812, 4.5812, 4.5812 Å; angles 60.00, 60.00, 60.00 degrees
With the nearest neighbours (Å) after each atom.
Sites, in units of the cell vectors:
Cd  0.5000  0.5000  0.5000  4 Os 2.81
Tl  0.0000  0.0000  0.0000  4 Os 2.81
Os  0.7500  0.7500  0.7500  4 Cd 2.81, 4 Tl 2.81

symmetry	No. 216
M_tot	0.00	μB/f.u.



<two>
The following is a PBE-GGA calculation of TlCdOs after structural relaxation, from the Alexandria database.

Cell lengths 5.3900, 5.3900, 5.3900 Å; angles 148.90, 132.99, 57.44 degrees
With the nearest neighbours (Å) after each atom.
Sites, in units of the cell vectors:
Tl  0.6731  0.6731  0.0000  2 Tl 2.89, 5 Cd 2.96-3.13, 5 Os 3.03-3.15
Os  0.3403  0.3403  0.0000  2 Os 2.89, 4 Cd 2.94, 5 Tl 3.03-3.15
Cd  0.9866  0.9866  0.0000  2 Cd 2.89, 4 Os 2.94, 5 Tl 2.96-3.13

symmetry	No. 44
M_tot	0.00	μB/f.u.



Taking the most stable structure as the zero point, the relative energies in kJ/mol of atoms are <one> 5.3; <two> 0.0.



<one>
The following is a PBE-GGA calculation of Tm6Cd2Os after structural relaxation, from the Alexandria database.

Cell lengths 3.9562, 8.3248, 8.3248 Å; angles 120.00, 90.00, 90.00 degrees
With the nearest neighbours (Å) after each atom.
Sites, in units of the cell vectors:
Os  0.5000  0.9999  0.0000  6 Tm 2.83
Cd  0.0000  0.6667  0.3333  9 Tm 3.22-3.26
Cd  0.0000  0.3334  0.6667  9 Tm 3.22-3.26
Tm  0.0000  0.7568  0.7567  2 Os 2.83
Tm  0.5000  0.6144  0.0000  1 Os 3.21, 4 Cd 3.25, 4 Tm 3.44
Tm  0.5000  0.3857  0.3857  1 Os 3.21, 4 Cd 3.25-3.26, 4 Tm 3.44
Tm  0.0000  0.2432  0.0000  2 Os 2.83
Tm  0.5000  0.0000  0.6143  1 Os 3.21, 4 Cd 3.25-3.26, 4 Tm 3.44
Tm  0.0000  0.0001  0.2433  2 Os 2.83

symmetry	No. 189
M_tot	0.00	μB/f.u.



<two>
The following is a PBE-GGA calculation of Tm6Cd2Os after structural relaxation, from the Alexandria database.

Cell lengths 5.0235, 7.0848, 8.5123 Å; angles 114.59, 107.17, 90.00 degrees
With the nearest neighbours (Å) after each atom.
Sites, in units of the cell vectors:
Tm  0.1543  0.3943  0.3091  1 Os 2.83, 3 Cd 3.12-3.13
Tm  0.5000  0.7745  0.0000  2 Os 2.98, 2 Cd 3.11, 1 Tm 3.20
Tm  0.8457  0.6057  0.6909  1 Os 2.83, 3 Cd 3.12-3.13
Tm  0.1543  0.9148  0.3091  1 Os 2.83, 3 Cd 3.12-3.13
Tm  0.5000  0.2255  0.0000  2 Os 2.98, 2 Cd 3.11, 1 Tm 3.20
Tm  0.8457  0.0852  0.6909  1 Os 2.83, 3 Cd 3.12-3.13
Cd  0.6657  0.6660  0.3320  8 Tm 3.11-3.13
Cd  0.3343  0.3340  0.6680  8 Tm 3.11-3.13
Os  0.0000  0.0000  0.0000  8 Tm 2.83-2.98

symmetry	No. 71
M_tot	0.00	μB/f.u.



Taking the most stable structure as the zero point, the relative energies in kJ/mol of atoms are <one> 0.0; <two> 17.8.



<one>
The following is a PBE-GGA calculation of Tm4CdOs after structural relaxation, from the Alexandria database.

Cell lengths 9.5158, 9.5158, 9.5158 Å; angles 60.00, 60.00, 60.00 degrees
With the nearest neighbours (Å) after each atom.
Sites, in units of the cell vectors:
Tm  0.4033  0.7902  0.4033  3 Os 2.80
Tm  0.1923  0.8077  0.8077  2 Cd 3.24, 6 Tm 3.38-3.55, 2 Os 3.39
Tm  0.8077  0.8077  0.1923  2 Cd 3.24, 6 Tm 3.38-3.55, 2 Os 3.39
Tm  0.7902  0.4033  0.4033  3 Os 2.80
Tm  0.4033  0.4033  0.7902  3 Os 2.80
Tm  0.9402  0.5598  0.5598  2 Os 2.74
Tm  0.9402  0.9402  0.5598  2 Os 2.74
Tm  0.5598  0.9402  0.5598  2 Os 2.74
Tm  0.1923  0.8077  0.1923  2 Cd 3.24, 6 Tm 3.38-3.55, 2 Os 3.39
Tm  0.8077  0.1923  0.8077  2 Cd 3.24, 6 Tm 3.38-3.55, 2 Os 3.39
Tm  0.8077  0.1923  0.1923  2 Cd 3.24, 6 Tm 3.38-3.55, 2 Os 3.39
Tm  0.4033  0.4033  0.4033  3 Os 2.80
Tm  0.9402  0.5598  0.9402  2 Os 2.74
Tm  0.5598  0.5598  0.9402  2 Os 2.74
Tm  0.5598  0.9402  0.9402  2 Os 2.74
Tm  0.1923  0.1923  0.8077  2 Cd 3.24, 6 Tm 3.38-3.55, 2 Os 3.39
Cd  0.1693  0.1693  0.1693  3 Cd 3.07, 6 Tm 3.24-3.44
Cd  0.1693  0.1693  0.4922  3 Cd 3.07, 6 Tm 3.24-3.44
Cd  0.1693  0.4922  0.1693  3 Cd 3.07, 6 Tm 3.24-3.44
Cd  0.4922  0.1693  0.1693  3 Cd 3.07, 6 Tm 3.24-3.44
Os  0.6105  0.6105  0.1685  6 Tm 2.74-2.80
Os  0.1685  0.6105  0.6105  6 Tm 2.74-2.80
Os  0.6105  0.6105  0.6105  6 Tm 2.74-2.80
Os  0.6105  0.1685  0.6105  6 Tm 2.74-2.80

symmetry	No. 216
M_tot	0.00	μB/f.u.



<two>
The following is a PBE-GGA calculation of Tm4CdOs after structural relaxation, from the Alexandria database.

Cell lengths 4.9418, 4.9531, 8.4471 Å; angles 72.93, 72.99, 60.08 degrees
With the nearest neighbours (Å) after each atom.
Sites, in units of the cell vectors:
Os  0.0000  0.0000  0.0000  8 Tm 2.73-2.96
Cd  0.5000  0.5000  0.5000  8 Tm 3.12-3.22
Tm  0.3649  0.3646  0.9056  3 Os 2.95-2.96, 1 Cd 3.22, 3 Tm 3.23
Tm  0.8852  0.8866  0.3431  1 Os 2.73
Tm  0.1148  0.1134  0.6569  1 Os 2.73
Tm  0.6351  0.6354  0.0944  3 Os 2.95-2.96, 1 Cd 3.22, 3 Tm 3.23

symmetry	No. 12
M_tot	0.00	μB/f.u.



Taking the most stable structure as the zero point, the relative energies in kJ/mol of atoms are <one> 0.0; <two> 17.8.



<one>
The following is a PBE-GGA calculation of VCd2Os after structural relaxation, from the Alexandria database.

Cell lengths 7.6375, 7.6375, 6.0125 Å; angles 50.57, 50.57, 90.00 degrees
With the nearest neighbours (Å) after each atom.
Sites, in units of the cell vectors:
V  0.2500  0.7500  0.5000  2 Os 2.64, 4 Cd 2.84
V  0.5000  0.5000  0.0000  2 Os 2.64, 4 Cd 2.84
Cd  0.3750  0.3638  0.7500  2 Cd 2.65, 2 Os 2.72, 2 V 2.84
Cd  0.6362  0.1250  0.2500  2 Cd 2.65, 2 Os 2.72, 2 V 2.84
Cd  0.1138  0.6250  0.2500  2 Cd 2.65, 2 Os 2.72, 2 V 2.84
Cd  0.8750  0.8862  0.7500  2 Cd 2.65, 2 Os 2.72, 2 V 2.84
Os  0.7500  0.2500  0.5000  2 V 2.64, 4 Cd 2.72
Os  0.0000  0.0000  0.0000  2 V 2.64, 4 Cd 2.72

symmetry	No. 122
M_tot	2.75	μB/f.u.



<two>
The following is a PBE-GGA calculation of VCd2Os after structural relaxation, from the Alexandria database.

Cell lengths 4.5951, 4.5951, 4.5951 Å; angles 60.00, 60.00, 60.00 degrees
With the nearest neighbours (Å) after each atom.
Sites, in units of the cell vectors:
Os  0.5000  0.5000  0.5000  8 Cd 2.81
V  0.0000  0.0000  0.0000  8 Cd 2.81
Cd  0.2500  0.2500  0.2500  4 Os 2.81, 4 V 2.81
Cd  0.7500  0.7500  0.7500  4 V 2.81, 4 Os 2.81

symmetry	No. 225
M_tot	1.49	μB/f.u.



Taking the most stable structure as the zero point, the relative energies in kJ/mol of atoms are <one> 31.1; <two> 0.0.



<one>
The following is a PBE-GGA calculation of VCd3Os after structural relaxation, from the Alexandria database.

Cell lengths 5.1406, 5.1406, 5.1406 Å; angles 90.00, 90.00, 90.00 degrees
With the nearest neighbours (Å) after each atom.
Sites, in units of the cell vectors:
Cd  0.0000  0.5000  0.0000  2 Os 2.57
Cd  0.5000  0.0000  0.0000  2 Os 2.57
Cd  0.0000  0.0000  0.5000  2 Os 2.57
Os  0.0000  0.0000  0.0000  6 Cd 2.57
V  0.5000  0.5000  0.5000  12 Cd 3.63

symmetry	No. 221
M_tot	3.50	μB/f.u.



<two>
The following is a PBE-GGA calculation of VCd3Os after structural relaxation, from the Alexandria database.

Cell lengths 5.0762, 5.0762, 5.0762 Å; angles 90.00, 90.00, 90.00 degrees
With the nearest neighbours (Å) after each atom.
Sites, in units of the cell vectors:
V  0.0000  0.0000  0.0000  6 Cd 2.54
Cd  0.0000  0.5000  0.0000  2 V 2.54
Cd  0.5000  0.0000  0.0000  2 V 2.54
Cd  0.0000  0.0000  0.5000  2 V 2.54
Os  0.5000  0.5000  0.5000  12 Cd 3.59

symmetry	No. 221
M_tot	6.50	μB/f.u.



Taking the most stable structure as the zero point, the relative energies in kJ/mol of atoms are <one> 0.0; <two> 62.3.



<one>
The following is a PBE-GGA calculation of V2CdOs2 after structural relaxation, from the Alexandria database.

Cell lengths 7.4537, 7.4537, 2.8140 Å; angles 90.00, 90.00, 90.00 degrees
With the nearest neighbours (Å) after each atom.
Sites, in units of the cell vectors:
Os  0.3525  0.1475  0.5000  6 V 2.58-2.62, 2 Os 2.81
Os  0.1475  0.6475  0.5000  6 V 2.58-2.62, 2 Os 2.81
Os  0.8525  0.3525  0.5000  6 V 2.58-2.62, 2 Os 2.81
Os  0.6475  0.8525  0.5000  6 V 2.58-2.62, 2 Os 2.81
V  0.1422  0.3578  0.0000  6 Os 2.58-2.62, 2 V 2.81, 2 Cd 2.87
V  0.8578  0.6422  0.0000  6 Os 2.58-2.62, 2 V 2.81, 2 Cd 2.87
V  0.3578  0.8578  0.0000  6 Os 2.58-2.62, 2 V 2.81, 2 Cd 2.87
V  0.6422  0.1422  0.0000  6 Os 2.58-2.62, 2 V 2.81, 2 Cd 2.87
Cd  0.0000  0.0000  0.0000  2 Cd 2.81, 4 V 2.87
Cd  0.5000  0.5000  0.0000  2 Cd 2.81, 4 V 2.87

symmetry	No. 127
M_tot	0.00	μB/f.u.



<two>
The following is a PBE-GGA calculation of V2CdOs2 after structural relaxation, from the Alexandria database.

Cell lengths 7.4143, 7.4143, 2.8450 Å; angles 90.00, 90.00, 90.00 degrees
With the nearest neighbours (Å) after each atom.
Sites, in units of the cell vectors:
V  0.1536  0.6536  0.5000  6 Os 2.59-2.61, 2 V 2.84
V  0.8464  0.3464  0.5000  6 Os 2.59-2.61, 2 V 2.84
V  0.3464  0.1536  0.5000  6 Os 2.59-2.61, 2 V 2.84
V  0.6536  0.8464  0.5000  6 Os 2.59-2.61, 2 V 2.84
Os  0.8620  0.6380  0.0000  6 V 2.59-2.61, 3 Os 2.84-2.89, 2 Cd 2.87
Os  0.6380  0.1380  0.0000  6 V 2.59-2.61, 3 Os 2.84-2.89, 2 Cd 2.87
Os  0.1380  0.3620  0.0000  6 V 2.59-2.61, 3 Os 2.84-2.89, 2 Cd 2.87
Os  0.3620  0.8620  0.0000  6 V 2.59-2.61, 3 Os 2.84-2.89, 2 Cd 2.87
Cd  0.0000  0.0000  0.0000  2 Cd 2.84, 4 Os 2.87, 8 V 3.15
Cd  0.5000  0.5000  0.0000  2 Cd 2.84, 4 Os 2.87, 8 V 3.15

symmetry	No. 127
M_tot	0.00	μB/f.u.



Taking the most stable structure as the zero point, the relative energies in kJ/mol of atoms are <one> 5.5; <two> 0.0.



<one>
The following is a PBE-GGA calculation of Cd2OsW after structural relaxation, from the Alexandria database.

Cell lengths 5.2829, 5.2829, 4.6224 Å; angles 76.11, 76.11, 33.80 degrees
With the nearest neighbours (Å) after each atom.
Sites, in units of the cell vectors:
Cd  0.0045  0.0045  0.9960  6 Cd 2.76-3.07, 3 Os 2.90-3.06, 3 W 2.97-3.00
Cd  0.4955  0.4955  0.5040  6 Cd 2.76-3.07, 3 Os 2.90-3.06, 3 W 2.97-3.00
W  0.2500  0.2500  0.2500  4 Os 2.77, 6 Cd 2.97-3.00, 2 W 3.07
Os  0.7500  0.7500  0.7500  4 W 2.77, 6 Cd 2.90-3.06, 2 Os 3.07

symmetry	No. 12
M_tot	0.00	μB/f.u.



<two>
The following is a PBE-GGA calculation of Cd2OsW after structural relaxation, from the Alexandria database.

Cell lengths 5.6443, 5.6443, 5.6443 Å; angles 148.10, 132.23, 58.59 degrees
With the nearest neighbours (Å) after each atom.
Sites, in units of the cell vectors:
Os  0.7500  0.2500  0.5000  4 W 2.76, 4 Cd 2.85
W  0.2500  0.7500  0.5000  4 Os 2.76, 4 Cd 2.97
Cd  0.5070  0.5070  0.0000  4 Cd 2.77, 2 Os 2.85, 2 W 2.97
Cd  0.9930  0.9930  0.0000  4 Cd 2.77, 2 Os 2.85, 2 W 2.97

symmetry	No. 71
M_tot	0.00	μB/f.u.



Taking the most stable structure as the zero point, the relative energies in kJ/mol of atoms are <one> 0.0; <two> 2.0.